! Tb4Ga12Ag, relaxed, DFT GGA-PBEsol; values from VASP
&SYSTEM
  ibrav = 0, nat = 17, ntyp = 3
/
ATOMIC_SPECIES
Tb 158.93 Tb.upf
Ga 69.72 Ga.upf
Ag 107.87 Ag.upf
ATOMIC_POSITIONS crystal
Tb 0.000 0.000 0.500
Tb 0.000 0.500 0.000
Tb 0.500 0.000 0.000
Tb 0.500 0.500 0.500
Ga 0.000 0.305 0.305
Ga 0.000 0.695 0.695
Ga 0.250 0.500 0.750
Ga 0.250 0.750 0.500
Ga 0.305 0.000 0.305
Ga 0.305 0.305 0.000
Ga 0.500 0.250 0.750
Ga 0.500 0.750 0.250
Ga 0.695 0.000 0.695
Ga 0.695 0.695 0.000
Ga 0.750 0.250 0.500
Ga 0.750 0.500 0.250
Ag 0.000 0.000 0.000
CELL_PARAMETERS angstrom
-4.279 4.279 4.279
4.279 -4.279 4.279
4.279 4.279 -4.279
! Total energy (eV for the cell shown): -73.228
! Space group: Im-3m, No. 229
! DOS(E_F) (states/eV/cell): 4.965